! BaIrCl2, relaxed, DFT PBE; values from VASP
! E above lowest polymorph: 0.355 eV/atom
! E_tot: -0.15009 Ha/atom
! Space-group type: R-3m, No. 166
! Crystal system: trigonal
! M_tot: 1.06 Bohr magnetons per cell
! ΔE_f (raw): -0.46 eV per atom
&SYSTEM
  ibrav = 0, nat = 4, ntyp = 3
/
ATOMIC_SPECIES
Ba 137.33 Ba.upf
Cl 35.45 Cl.upf
Ir 192.22 Ir.upf
ATOMIC_POSITIONS crystal
Ba 0.750 0.750 0.750
Cl 0.973 0.973 0.973
Cl 0.527 0.527 0.527
Ir 0.250 0.250 0.250
CELL_PARAMETERS angstrom
-5.037 -0.879 -2.676
-1.337 -2.072 -5.218
-2.723 -4.791 -1.715

! NaLiV2C, relaxed, DFT PBE; values from VASP
! ΔH_f (0 K): 0.46 eV per atom
! E_tot: -0.20879 Ha/atom
! Space-group type: P4/mmm, No. 123
! Crystal system: tetragonal
! M_tot: 3.76 Bohr magnetons per cell
&SYSTEM
  ibrav = 0, nat = 5, ntyp = 4
/
ATOMIC_SPECIES
Li 6.94 Li.upf
V 50.94 V.upf
Na 22.99 Na.upf
C 12.01 C.upf
ATOMIC_POSITIONS crystal
Li 0.000 0.500 0.000
V 0.500 0.000 0.000
V 0.000 0.000 0.500
Na 0.500 0.500 0.500
C 0.000 0.000 0.000
CELL_PARAMETERS angstrom
4.046 0.000 0.000
0.000 4.768 0.000
0.000 0.000 4.046

! BSb2Te2, relaxed, DFT PBE; values from VASP
! E above lowest polymorph: 0.007 eV/atom
! E_tot: -0.13297 Ha/atom
! Space-group type: I4/mmm, No. 139
! Crystal system: tetragonal
! M_tot: 0.00 Bohr magnetons per cell
! ΔE_f (raw): 0.62 eV per atom
&SYSTEM
  ibrav = 0, nat = 5, ntyp = 3
/
ATOMIC_SPECIES
B 10.81 B.upf
Te 127.60 Te.upf
Sb 121.76 Sb.upf
ATOMIC_POSITIONS crystal
B 0.000 0.000 0.000
Te 0.750 0.250 0.500
Te 0.250 0.750 0.500
Sb 0.725 0.725 0.551
Sb 0.275 0.275 0.449
CELL_PARAMETERS angstrom
-1.326 5.069 3.415
-4.264 -3.271 3.199
-0.017 -0.148 5.939

! Cs2BiBI6, relaxed, DFT PBE; values from VASP
! E_tot: -0.09731 Ha/atom
! Space-group type: I4/mmm, No. 139
! Crystal system: tetragonal
! M_tot: 0.00 Bohr magnetons per cell
! ΔE_f (raw): -0.49 eV per atom
&SYSTEM
  ibrav = 0, nat = 10, ntyp = 4
/
ATOMIC_SPECIES
B 10.81 B.upf
I 126.90 I.upf
Bi 208.98 Bi.upf
Cs 132.91 Cs.upf
ATOMIC_POSITIONS crystal
B 0.500 0.500 0.000
I 0.261 0.739 0.000
I 0.738 0.738 0.525
I 0.262 0.262 0.475
I 0.739 0.261 0.000
I 0.739 0.739 0.000
I 0.261 0.261 0.000
Bi 0.000 0.000 0.000
Cs 0.250 0.750 0.500
Cs 0.750 0.250 0.500
CELL_PARAMETERS angstrom
-2.836 7.750 -1.721
-3.706 0.324 7.565
1.673 6.362 5.245

Question: Which of these has the highest E_tot?
Answer: Cs2BiBI6